# YMo2Pt | Alexandria | meta-GGA SCAN | PBEsol geometry
# Distance to the lowest polymorph of the same formula = 0.180 eV per atom
data_YMo2Pt
_chemical_formula_sum 'Y2 Mo4 Pt2'
_cell_length_a 5.4326
_cell_length_b 9.6384
_cell_length_c 2.7751
_cell_angle_alpha 90.00
_cell_angle_beta 109.49
_cell_angle_gamma 90.00
_space_group_name_H-M_alt 'C 1 2/m 1'
_space_group_IT_number 12
loop_
_space_group_symop_operation_xyz
'x,y,z'
'-x,-y,-z'
'-x,y,-z'
'x,-y,z'
'x+1/2,y+1/2,z'
'-x+1/2,-y+1/2,-z'
'-x+1/2,y+1/2,-z'
'x+1/2,-y+1/2,z'
loop_
_atom_site_label
_atom_site_fract_x
_atom_site_fract_y
_atom_site_fract_z
Y1 0.0000 0.0000 0.0000
Mo1 0.2500 0.2500 0.5000
Pt1 0.0000 0.5000 0.0000